Record 1
## Fe2Ir4Pt (PBE)

Data for a relaxed structure of Fe2Ir4Pt.

Values from the calculation:
- Total magnetization: 9.5 Bohr magnetons per cell
- Final energy: -8.036 eV/atom

Geometry as POSCAR:
```
Fe2Ir4Pt
1.0
-5.575 0.379 -3.491
2.860 -5.910 -0.538
-1.072 0.720 6.460
Ir Fe Pt
8 4 2
Direct
0.797 0.810 0.310
0.203 0.513 0.013
0.500 0.310 0.513
0.500 0.013 0.810
0.500 0.987 0.190
0.500 0.690 0.487
0.797 0.487 0.987
0.203 0.190 0.690
0.797 0.148 0.648
0.203 0.852 0.352
0.500 0.648 0.852
0.500 0.352 0.148
0.000 0.250 0.250
0.000 0.750 0.750
```

***

Record 2
## LiAgCl (PBE)

Data for a relaxed structure of LiAgCl.

Values from the calculation:
- Total magnetization: 0.0 Bohr magnetons per cell
- Uncorrected formation energy: -0.6853 eV per atom
- Distance to the lowest polymorph of the same formula: 289 meV/atom
- Final energy: -2.889 eV/atom

Geometry as POSCAR:
```
LiAgCl
1.0
-2.151 0.277 -2.568
2.999 -1.443 -0.468
-2.367 -5.376 1.403
Ag Cl Li
1 1 1
Direct
0.000 0.000 0.001
0.667 0.333 0.600
0.333 0.667 0.399
```

***

Record 3
## Ba2PmU3N8 (PBE)

Data for a relaxed structure of Ba2PmU3N8.

Values from the calculation:
- Total magnetization: 1.1 Bohr magnetons per cell
- Uncorrected formation energy: -1.2360 eV per atom
- Final energy: -9.026 eV/atom

Geometry as POSCAR:
```
Ba2PmU3N8
1.0
-2.208 2.031 6.364
-6.750 -0.816 1.807
-1.643 -5.496 5.073
Ba Pm U N
2 1 3 8
Direct
0.134 0.134 0.598
0.494 0.494 0.518
0.956 0.956 0.132
0.496 0.992 0.017
0.992 0.496 0.017
0.496 0.496 0.017
0.276 0.276 0.172
0.710 0.710 0.870
0.219 0.219 0.868
0.694 0.219 0.868
0.219 0.694 0.868
0.746 0.315 0.192
0.315 0.746 0.192
0.746 0.746 0.192
```

***

Record 4
## Pm3Pr7Sm2 (PBE)

Data for a relaxed structure of Pm3Pr7Sm2.

Values from the calculation:
- Total magnetization: 0.0 Bohr magnetons per cell
- Distance to the lowest polymorph of the same formula: 17 meV/atom
- Final energy: -4.678 eV/atom

Geometry as POSCAR:
```
Pm3Pr7Sm2
1.0
3.661 0.000 0.000
0.000 6.021 0.278
0.000 -2.011 19.342
Pm Pr Sm
3 7 2
Direct
0.500 0.500 0.000
0.000 0.217 0.367
0.000 0.783 0.633
0.500 0.743 0.464
0.500 0.257 0.536
0.000 0.679 0.145
0.000 0.000 0.000
0.000 0.321 0.855
0.500 0.818 0.819
0.500 0.182 0.181
0.500 0.707 0.296
0.500 0.293 0.704
```

***

Record 5
## Tm8TlFe2 (PBE)

Data for a relaxed structure of Tm8TlFe2.

Values from the calculation:
- Total magnetization: 0.0 Bohr magnetons per cell
- Final energy: -5.056 eV/atom

Geometry as POSCAR:
```
Tm8TlFe2
1.0
5.191 0.155 -0.805
-1.672 6.969 -2.886
0.181 -0.030 7.724
Tl Tm Fe
1 8 2
Direct
0.000 0.003 0.003
0.577 0.336 0.065
0.577 0.065 0.336
0.202 0.389 0.389
0.000 0.253 0.753
0.000 0.753 0.253
0.798 0.617 0.617
0.423 0.942 0.671
0.423 0.671 0.942
0.500 0.688 0.318
0.500 0.318 0.688
```

***

Record 6
## GaHg2MoP (PBE)

Data for a relaxed structure of GaHg2MoP.

Values from the calculation:
- Total magnetization: 4.0 Bohr magnetons per cell
- Final energy: -2.821 eV/atom

Geometry as POSCAR:
```
GaHg2MoP
1.0
5.137 0.000 0.000
0.000 5.137 0.000
0.000 0.000 4.765
P Mo Hg Ga
1 1 2 1
Direct
0.000 0.000 0.500
0.500 0.500 0.500
0.000 0.500 0.000
0.500 0.000 0.000
0.000 0.000 0.000
```

***

Record 7
## Y2Ho3Th (PBE)

Data for a relaxed structure of Y2Ho3Th.

Values from the calculation:
- Total magnetization: 0.0 Bohr magnetons per cell
- Distance to the lowest polymorph of the same formula: 219 meV/atom
- Final energy: -5.423 eV/atom

Geometry as POSCAR:
```
Y2Ho3Th
1.0
6.356 0.000 0.000
0.000 7.394 3.319
0.000 -0.729 8.072
Y Ho Th
4 6 2
Direct
0.551 0.870 0.507
0.051 0.493 0.130
0.551 0.507 0.870
0.051 0.130 0.493
0.076 0.750 0.384
0.576 0.616 0.250
0.076 0.384 0.750
0.576 0.250 0.616
0.341 0.917 0.917
0.841 0.083 0.083
0.862 0.829 0.829
0.362 0.171 0.171
```

***

Record 8
## MgBeCr2S (PBE)

Data for a relaxed structure of MgBeCr2S.

Values from the calculation:
- Total magnetization: 6.4 Bohr magnetons per cell
- Uncorrected formation energy: 0.6148 eV per atom
- Final energy: -5.124 eV/atom

Geometry as POSCAR:
```
MgBeCr2S
1.0
4.269 0.000 0.000
0.000 4.269 0.000
0.000 0.000 4.505
Cr S Mg Be
2 1 1 1
Direct
0.000 0.500 0.000
0.500 0.000 0.000
0.500 0.500 0.500
0.000 0.000 0.500
0.000 0.000 0.000
```